*A*
Sr2BeTl, relaxed, DFT GGA-PBE; crystal system = orthorhombic
1.0
4.598 0.000 0.000
0.000 5.112 -0.001
0.000 2.559 5.536
Sr Tl Be
2 1 1
Cartesian
0.000 7.351 5.094
2.299 2.238 1.849
0.000 4.794 2.963
2.299 4.795 3.932


*B*
Sr2BeTl, relaxed, DFT GGA-PBE; crystal system = tetragonal
1.0
-2.647 7.097 4.368
3.545 -3.189 7.330
3.653 3.649 5.036
Sr Tl Be
4 2 2
Cartesian
-0.206 4.704 4.754
2.707 0.052 6.537
3.199 4.092 8.417
3.403 6.267 13.759
0.000 0.000 0.000
0.728 6.350 7.627
0.449 1.954 5.849
3.824 1.207 9.107


*A* is favored, and the nearest alternative lies 365 meV per atom above it.


*A*
SrBeTl, relaxed, DFT GGA-PBE; crystal system = hexagonal
1.0
-4.365 -0.258 -1.338
2.135 -3.727 1.568
-1.297 0.959 4.045
Sr Tl Be
1 1 1
Cartesian
-2.630 -1.095 0.979
-1.112 -1.772 3.970
-1.081 0.799 3.371


*B*
SrBeTl, relaxed, DFT GGA-PBE; crystal system = cubic
1.0
4.874 0.000 0.000
2.437 4.221 0.000
2.437 1.407 3.980
Sr Tl Be
1 1 1
Cartesian
0.000 0.000 0.000
4.874 2.814 1.990
7.311 4.221 2.985


*A* is favored, and the nearest alternative lies 177 meV per atom above it.


*A*
SrBeTl, relaxed, DFT GGA-PBE; crystal system = cubic
1.0
5.213 0.000 0.000
2.606 4.514 0.000
2.606 1.505 4.256
Sr Tl Be
1 1 1
Cartesian
7.819 4.514 3.192
0.000 0.000 0.000
5.213 3.009 2.128


*B*
SrBeTl, relaxed, DFT GGA-PBE; crystal system = tetragonal
1.0
-0.076 -1.875 -6.204
3.260 -0.771 -5.549
1.126 -3.392 -0.019
Sr Tl Be
1 1 1
Cartesian
1.835 -3.135 -4.062
2.432 -2.919 -7.464
1.169 -3.377 -0.264


*B* is favored, and the nearest alternative lies 520 meV per atom above it.


*A*
Sr2Be2Tl, relaxed, DFT GGA-PBE; crystal system = tetragonal
1.0
7.552 0.000 0.000
0.000 7.552 0.000
0.000 0.000 4.575
Sr Tl Be
4 2 4
Cartesian
1.423 5.199 2.287
5.199 6.128 2.287
6.128 2.352 2.287
2.352 1.423 2.287
0.000 0.000 0.000
3.776 3.776 0.000
3.032 6.808 0.000
6.808 4.520 0.000
4.520 0.744 0.000
0.744 3.032 0.000


*B*
Sr2Be2Tl, relaxed, DFT GGA-PBE; crystal system = tetragonal
1.0
6.133 0.000 0.000
0.000 6.133 0.000
3.066 3.066 3.526
Sr Tl Be
2 1 2
Cartesian
6.133 3.066 1.763
3.066 6.133 1.763
0.000 0.000 0.000
3.066 3.066 1.009
6.133 6.133 2.517


*A* is favored, and the nearest alternative lies 59 meV per atom above it.


*A*
SrBeV3, relaxed, DFT GGA-PBE; crystal system = cubic
1.0
-0.050 2.716 -3.607
3.388 -2.362 -1.826
-2.985 -2.727 -2.011
Sr V Be
1 3 1
Cartesian
0.176 -1.186 -3.722
1.694 -1.181 -0.913
-1.493 -1.363 -1.006
-0.025 1.358 -1.804
0.000 0.000 0.000


*B*
SrBeV3, relaxed, DFT GGA-PBE; crystal system = cubic
1.0
-0.287 0.023 -4.471
4.355 -1.016 -0.285
-1.016 -4.364 0.043
Sr V Be
1 3 1
Cartesian
0.000 0.000 0.000
2.177 -0.508 -0.142
-0.508 -2.182 0.022
-0.144 0.011 -2.236
1.526 -2.679 -2.357


*A* is favored, and the nearest alternative lies 1644 meV per atom above it.


*A*
SrBe3V, relaxed, DFT GGA-PBE; crystal system = cubic
1.0
4.941 0.000 0.000
0.000 4.941 0.000
0.000 0.000 4.941
Sr V Be
1 1 3
Cartesian
0.000 0.000 0.000
2.470 2.470 2.470
0.000 2.470 0.000
0.000 0.000 2.470
2.470 0.000 0.000


*B*
SrBe3V, relaxed, DFT GGA-PBE; crystal system = cubic
1.0
4.574 0.000 0.000
0.000 4.574 0.000
0.000 0.000 4.574
Sr V Be
1 1 3
Cartesian
2.287 2.287 2.287
0.000 0.000 0.000
0.000 2.287 0.000
0.000 0.000 2.287
2.287 0.000 0.000


*B* is favored, and the nearest alternative lies 1615 meV per atom above it.